a | Density functional theory data (PBE) for a relaxed structure of Al3AgC.

space group: Pm-3m
D(E_F): 2.24 states/eV/f.u.

Lattice parameters (Å, degrees): 4.123 4.123 4.123 90.00 90.00 90.00
Sites, in units of the cell vectors:
1 Al 0.500 0.000 0.000
2 C 0.000 0.000 0.000
3 Ag 0.500 0.500 0.500
4 Al 0.000 0.500 0.000
5 Al 0.000 0.000 0.500

---

b | Density functional theory data (PBE) for a relaxed structure of Al3AgC.

space group: Pm-3m
D(E_F): 1.82 states/eV/f.u.

Lattice parameters (Å, degrees): 4.794 4.794 4.794 90.00 90.00 90.00
Site moments in Bohr magnetons follow the coordinates.
Sites, in units of the cell vectors:
1 Al 0.000 0.500 0.000  0.01
2 Ag 0.000 0.000 0.000  0.04
3 Al 0.000 0.000 0.500  0.00
4 C 0.500 0.500 0.500  0.83
5 Al 0.500 0.000 0.000  0.02

---

Pick the most stable structure from those above. Pick: a